1.
{
  "formula": "BaSiAg2Te3S",
  "functional": "PBE",
  "state": "relaxed",
  "relative_energy_ev_per_atom": 0.0032,
  "total_energy_ev_per_atom": -3.919,
  "sg": "P1 (1)",
  "lattice_angstrom": [[6.7824, 0.0000, 0.0000], [-1.2183, 6.7619, 0.0000], [-2.5550, -3.5656, 5.3980]],
  "species": ["Ba", "Si", "Ag", "Ag", "Te", "Te", "Te", "S"],
  "frac_coords": [[0.0000, 0.0000, 0.0000], [0.4656, 0.5154, 0.0031], [0.3098, 0.8143, 0.4743], [0.6799, 0.2006, 0.5014], [0.4541, 0.4842, 0.6181], [0.5136, 0.1476, 0.9797], [0.8443, 0.8570, 0.3841], [0.1610, 0.5435, 0.0145]]
}

***

2.
{
  "formula": "BaSiAg2Te3S",
  "functional": "PBE",
  "state": "relaxed",
  "relative_energy_ev_per_atom": 0.0000,
  "total_energy_ev_per_atom": -3.922,
  "sg": "Cm (8)",
  "lattice_angstrom": [[9.2588, 0.0000, 0.0000], [0.0000, 10.4776, 0.0000], [-4.3770, 0.0000, 5.1323]],
  "species": ["Ba", "Ba", "Si", "Si", "Ag", "Ag", "Ag", "Ag", "Te", "Te", "Te", "Te", "Te", "Te", "S", "S"],
  "frac_coords": [[0.0000, 0.0000, 0.0000], [0.5000, 0.5000, 0.0000], [0.0426, 0.5000, 0.0758], [0.5426, 0.0000, 0.0758], [0.0412, 0.2620, 0.5254], [0.0412, 0.7380, 0.5254], [0.5412, 0.2380, 0.5254], [0.5412, 0.7620, 0.5254], [0.1872, 0.3033, 0.0430], [0.1872, 0.6967, 0.0430], [0.1932, 0.0000, 0.6682], [0.6872, 0.1967, 0.0430], [0.6872, 0.8033, 0.0430], [0.6932, 0.5000, 0.6682], [0.0820, 0.5000, 0.4237], [0.5820, 0.0000, 0.4237]]
}

***

3.
{
  "formula": "BaSmAgS3",
  "functional": "PBE",
  "state": "relaxed",
  "total_energy_ev_per_atom": -5.244,
  "sg": "P2_1/m (11)",
  "lattice_angstrom": [[7.9666, 0.0000, 0.0000], [0.0000, 4.1717, 0.0000], [-2.8030, 0.0000, 9.4315]],
  "species": ["Ba", "Ba", "Sm", "Sm", "Ag", "Ag", "S", "S", "S", "S", "S", "S"],
  "frac_coords": [[0.2434, 0.2500, 0.2096], [0.7566, 0.7500, 0.7904], [0.1984, 0.7500, 0.6496], [0.8016, 0.2500, 0.3504], [0.4093, 0.2500, 0.9047], [0.5907, 0.7500, 0.0953], [0.0493, 0.7500, 0.3572], [0.2311, 0.7500, 0.9490], [0.4379, 0.2500, 0.6539], [0.5621, 0.7500, 0.3461], [0.7689, 0.2500, 0.0510], [0.9507, 0.2500, 0.6428]]
}

***

4.
{
  "formula": "BaSmAgTe2S",
  "functional": "PBE",
  "state": "relaxed",
  "total_energy_ev_per_atom": -4.702,
  "sg": "Cmcm (63)",
  "lattice_angstrom": [[2.2209, -7.5217, 0.0000], [2.2209, 7.5217, 0.0000], [0.0000, 0.0000, 10.9036]],
  "species": ["Ba", "Ba", "Sm", "Sm", "Ag", "Ag", "Te", "Te", "Te", "Te", "S", "S"],
  "frac_coords": [[0.2277, 0.7723, 0.7500], [0.7723, 0.2277, 0.2500], [0.5000, 0.5000, 0.0000], [0.5000, 0.5000, 0.5000], [0.0226, 0.9774, 0.2500], [0.9774, 0.0226, 0.7500], [0.1442, 0.8558, 0.0555], [0.1442, 0.8558, 0.4445], [0.8558, 0.1442, 0.5555], [0.8558, 0.1442, 0.9445], [0.4306, 0.5694, 0.2500], [0.5694, 0.4306, 0.7500]]
}

***

5.
{
  "formula": "BaSmAgTeS2",
  "functional": "PBE",
  "state": "relaxed",
  "total_energy_ev_per_atom": -4.939,
  "sg": "Cmcm (63)",
  "lattice_angstrom": [[2.1103, -7.5096, 0.0000], [2.1103, 7.5096, 0.0000], [0.0000, 0.0000, 11.2516]],
  "species": ["Ba", "Ba", "Sm", "Sm", "Ag", "Ag", "Te", "Te", "S", "S", "S", "S"],
  "frac_coords": [[0.2136, 0.7864, 0.7500], [0.7864, 0.2136, 0.2500], [0.0000, 0.0000, 0.0000], [0.0000, 0.0000, 0.5000], [0.4841, 0.5159, 0.2500], [0.5159, 0.4841, 0.7500], [0.1038, 0.8962, 0.2500], [0.8962, 0.1038, 0.7500], [0.3822, 0.6178, 0.0693], [0.3822, 0.6178, 0.4307], [0.6178, 0.3822, 0.5693], [0.6178, 0.3822, 0.9307]]
}

***

6.
{
  "formula": "BaAg2SnTe3S",
  "functional": "PBE",
  "state": "relaxed",
  "total_energy_ev_per_atom": -3.723,
  "sg": "P1 (1)",
  "lattice_angstrom": [[6.9563, 0.0000, 0.0000], [-1.3029, 6.8839, 0.0000], [-3.1285, -3.1940, 5.5379]],
  "species": ["Ba", "Ag", "Ag", "Sn", "Te", "Te", "Te", "S"],
  "frac_coords": [[0.0000, 0.0000, 0.0000], [0.2030, 0.6848, 0.5223], [0.8307, 0.3132, 0.4680], [0.5192, 0.4676, 0.9994], [0.1102, 0.4998, 0.9609], [0.4853, 0.4639, 0.5901], [0.8895, 0.8688, 0.4071], [0.5505, 0.1328, 0.0204]]
}